Version i
CuPH6NO5 at its PBEsol-relaxed geometry, computed with meta-GGA SCAN.

Cell: 7.427 7.420 8.607 Å, 90.00 95.28 90.00°
Fractional coordinates of all 56 atoms:
Cu1 0.429 0.310 0.961
Cu2 0.071 0.810 0.039
Cu3 0.571 0.690 0.039
Cu4 0.929 0.190 0.961
P1 0.329 0.950 0.809
P2 0.171 0.450 0.191
P3 0.671 0.050 0.191
P4 0.829 0.550 0.809
H1 0.347 0.568 0.799
H2 0.153 0.068 0.201
H3 0.653 0.432 0.201
H4 0.847 0.932 0.799
H5 0.175 0.434 0.800
H6 0.325 0.934 0.200
H7 0.825 0.566 0.200
H8 0.675 0.066 0.800
H9 0.394 0.819 0.529
H10 0.106 0.319 0.471
H11 0.606 0.181 0.471
H12 0.894 0.681 0.529
H13 0.576 0.674 0.539
H14 0.924 0.174 0.461
H15 0.424 0.326 0.461
H16 0.076 0.826 0.539
H17 0.515 0.786 0.369
H18 0.985 0.286 0.631
H19 0.485 0.214 0.631
H20 0.015 0.714 0.369
H21 0.380 0.620 0.427
H22 0.120 0.120 0.573
H23 0.620 0.380 0.573
H24 0.880 0.880 0.427
N1 0.467 0.726 0.466
N2 0.033 0.226 0.534
N3 0.533 0.274 0.534
N4 0.967 0.774 0.466
O1 0.307 0.439 0.778
O2 0.193 0.939 0.222
O3 0.693 0.561 0.222
O4 0.807 0.061 0.778
O5 0.473 0.106 0.830
O6 0.027 0.606 0.170
O7 0.527 0.894 0.170
O8 0.973 0.394 0.830
O9 0.257 0.943 0.635
O10 0.243 0.443 0.365
O11 0.743 0.057 0.365
O12 0.757 0.557 0.635
O13 0.322 0.495 0.085
O14 0.178 0.995 0.915
O15 0.678 0.505 0.915
O16 0.822 0.005 0.085
O17 0.575 0.231 0.148
O18 0.925 0.731 0.852
O19 0.425 0.769 0.852
O20 0.075 0.269 0.148



Version ii
CuPH6NO5 at its PBEsol-relaxed geometry, computed with meta-GGA SCAN.

Cell: 4.683 5.611 8.788 Å, 90.00 90.00 90.00°
Fractional coordinates of all 28 atoms:
Cu1 0.488 0.000 0.026
Cu2 0.988 0.500 0.974
P1 0.922 0.000 0.809
P2 0.422 0.500 0.191
H1 0.560 0.000 0.545
H2 0.060 0.500 0.455
H3 0.380 0.153 0.407
H4 0.880 0.347 0.593
H5 0.380 0.847 0.407
H6 0.880 0.653 0.593
H7 0.188 0.000 0.541
H8 0.688 0.500 0.459
H9 0.920 0.141 0.174
H10 0.420 0.359 0.826
H11 0.920 0.859 0.174
H12 0.420 0.641 0.826
N1 0.377 0.000 0.474
N2 0.877 0.500 0.526
O1 0.769 0.779 0.882
O2 0.269 0.721 0.118
O3 0.769 0.221 0.882
O4 0.269 0.279 0.118
O5 0.243 0.000 0.841
O6 0.743 0.500 0.159
O7 0.878 0.000 0.634
O8 0.378 0.500 0.366
O9 0.794 0.000 0.191
O10 0.294 0.500 0.809



Most stable structure, least stable structure: version i, version ii.



Version i
CuH3Se at its PBEsol-relaxed geometry, computed with meta-GGA SCAN.

Cell: 3.490 3.490 3.490 Å, 90.00 90.00 90.00°
Fractional coordinates of all 5 atoms:
H1 0.000 0.500 0.000
H2 0.000 0.000 0.500
H3 0.500 0.000 0.000
Cu1 0.000 0.000 0.000
Se1 0.500 0.500 0.500



Version ii
CuH3Se at its PBEsol-relaxed geometry, computed with meta-GGA SCAN.

Cell: 3.623 3.623 3.623 Å, 90.00 90.00 90.00°
Fractional coordinates of all 5 atoms:
H1 0.000 0.500 0.000
H2 0.000 0.000 0.500
H3 0.500 0.000 0.000
Cu1 0.500 0.500 0.500
Se1 0.000 0.000 0.000



Most stable structure, least stable structure: version i, version ii.



Version i
CuHg2Ir at its PBEsol-relaxed geometry, computed with meta-GGA SCAN.

Cell: 4.195 4.762 4.195 Å, 116.13 90.00 116.13°
Fractional coordinates of all 4 atoms:
Cu1 0.500 0.000 0.500
Hg1 0.750 0.500 0.250
Hg2 0.250 0.500 0.750
Ir1 0.000 0.000 0.000



Version ii
CuHg2Ir at its PBEsol-relaxed geometry, computed with meta-GGA SCAN.

Cell: 2.882 2.882 9.092 Å, 90.00 90.00 118.38°
Fractional coordinates of all 4 atoms:
Cu1 0.500 0.500 0.000
Hg1 0.000 0.000 0.241
Hg2 0.000 0.000 0.759
Ir1 0.500 0.500 0.500



Version iii
CuHg2Ir at its PBEsol-relaxed geometry, computed with meta-GGA SCAN.

Cell: 4.530 4.530 4.530 Å, 60.00 60.00 60.00°
Fractional coordinates of all 4 atoms:
Cu1 0.500 0.500 0.500
Hg1 0.000 0.000 0.000
Hg2 0.750 0.750 0.750
Ir1 0.250 0.250 0.250



Most stable structure, least stable structure: version i, version iii.



Version i
CuHgIr2 at its PBEsol-relaxed geometry, computed with meta-GGA SCAN.

Cell: 2.776 4.780 4.765 Å, 101.40 90.00 106.88°
Fractional coordinates of all 4 atoms:
Cu1 0.500 0.000 0.000
Hg1 0.000 0.000 0.500
Ir1 0.761 0.523 0.772
Ir2 0.239 0.477 0.228



Version ii
CuHgIr2 at its PBEsol-relaxed geometry, computed with meta-GGA SCAN.

Cell: 4.382 4.382 4.382 Å, 60.00 60.00 60.00°
Fractional coordinates of all 4 atoms:
Cu1 0.000 0.000 0.000
Hg1 0.500 0.500 0.500
Ir1 0.250 0.250 0.250
Ir2 0.750 0.750 0.750



Version iii
CuHgIr2 at its PBEsol-relaxed geometry, computed with meta-GGA SCAN.

Cell: 2.831 4.647 5.323 Å, 115.88 105.42 90.00°
Fractional coordinates of all 4 atoms:
Cu1 0.491 0.491 0.982
Hg1 0.243 0.743 0.486
Ir1 0.014 0.014 0.027
Ir2 0.752 0.252 0.504



Most stable structure, least stable structure: version i, version ii.



Version i
Cu2HgIr at its PBEsol-relaxed geometry, computed with meta-GGA SCAN.

Cell: 2.884 4.427 4.925 Å, 110.23 107.02 90.00°
Fractional coordinates of all 4 atoms:
Cu1 0.989 0.030 0.979
Cu2 0.263 0.726 0.526
Hg1 0.509 0.542 0.019
Ir1 0.738 0.202 0.476



Version ii
Cu2HgIr at its PBEsol-relaxed geometry, computed with meta-GGA SCAN.

Cell: 2.717 2.717 8.935 Å, 90.00 90.00 117.86°
Fractional coordinates of all 4 atoms:
Cu1 0.000 0.000 0.991
Cu2 0.500 0.500 0.772
Hg1 0.000 0.000 0.509
Ir1 0.500 0.500 0.227



Most stable structure, least stable structure: version i, version ii.



Version i
Cu2HgIr at its PBEsol-relaxed geometry, computed with meta-GGA SCAN.

Cell: 2.923 2.923 6.586 Å, 90.00 90.00 90.00°
Fractional coordinates of all 4 atoms:
Cu1 0.000 0.000 0.013
Cu2 0.500 0.500 0.213
Hg1 0.000 0.000 0.486
Ir1 0.500 0.500 0.788



Version ii
Cu2HgIr at its PBEsol-relaxed geometry, computed with meta-GGA SCAN.

Cell: 2.960 4.519 5.103 Å, 116.28 106.86 90.00°
Fractional coordinates of all 4 atoms:
Cu1 0.743 0.743 0.486
Cu2 0.257 0.257 0.514
Hg1 0.500 0.000 0.000
Ir1 0.000 0.500 0.000



Most stable structure, least stable structure: version i, version ii.



Version i
CuHg2Pt at its PBEsol-relaxed geometry, computed with meta-GGA SCAN.

Cell: 4.557 4.557 4.557 Å, 60.00 60.00 60.00°
Fractional coordinates of all 4 atoms:
Cu1 0.000 0.000 0.000
Hg1 0.750 0.750 0.750
Hg2 0.250 0.250 0.250
Pt1 0.500 0.500 0.500



Version ii
CuHg2Pt at its PBEsol-relaxed geometry, computed with meta-GGA SCAN.

Cell: 3.003 3.003 8.840 Å, 80.22 80.22 60.00°
Fractional coordinates of all 4 atoms:
Cu1 0.000 0.000 0.000
Hg1 0.254 0.254 0.239
Hg2 0.746 0.746 0.761
Pt1 0.500 0.500 0.500



Version iii
CuHg2Pt at its PBEsol-relaxed geometry, computed with meta-GGA SCAN.

Cell: 2.935 3.779 6.005 Å, 90.00 90.02 90.00°
Fractional coordinates of all 4 atoms:
Cu1 0.500 0.500 0.500
Hg1 0.000 0.000 0.740
Hg2 0.000 0.000 0.260
Pt1 0.500 0.500 0.000



Version iv
CuHg2Pt at its PBEsol-relaxed geometry, computed with meta-GGA SCAN.

Cell: 2.974 4.688 5.238 Å, 100.98 90.00 108.49°
Fractional coordinates of all 4 atoms:
Cu1 0.000 0.000 0.500
Hg1 0.745 0.490 0.741
Hg2 0.255 0.510 0.259
Pt1 0.500 0.000 0.000



Most stable structure, least stable structure: version i, version ii.



Version i
Ta2CuHg at its PBEsol-relaxed geometry, computed with meta-GGA SCAN.

Cell: 2.863 4.156 5.855 Å, 90.00 104.15 90.00°
Fractional coordinates of all 4 atoms:
Cu1 0.704 0.000 0.408
Hg1 0.569 0.500 0.139
Ta1 0.940 0.000 0.879
Ta2 0.306 0.500 0.612



Version ii
Ta2CuHg at its PBEsol-relaxed geometry, computed with meta-GGA SCAN.

Cell: 2.876 4.850 5.104 Å, 99.93 106.37 90.00°
Fractional coordinates of all 4 atoms:
Cu1 0.500 0.000 0.000
Hg1 0.000 0.500 0.000
Ta1 0.246 0.240 0.493
Ta2 0.754 0.760 0.507



Most stable structure, least stable structure: version i, version ii.